Version a
Computed, not measured: a relaxed structure of V3TcOs at the PBE level of DFT.

```
5
Lattice="4.5694 0.0000 0.0000 0.0000 4.5694 0.0000 0.0000 0.0000 4.5694" Properties=species:S:1:pos:R:3 pbc="T T T"
V 0.0000 0.0000 2.2847
V 0.0000 2.2847 0.0000
V 2.2847 0.0000 0.0000
Tc 2.2847 2.2847 2.2847
Os 0.0000 0.0000 0.0000
```

Computed properties:
SG = Pm-3m
crystal system = cubic
V = 95.4 Å³/cell

Version b
Computed, not measured: a relaxed structure of V3TcOs at the PBE level of DFT.

```
10
Lattice="7.5793 -1.4890 0.0000 7.5793 1.4890 0.0000 -1.9918 0.0000 6.3872" Properties=species:S:1:pos:R:3 pbc="T T T"
V 0.1889 0.0000 1.5476
V 3.1841 0.0000 0.8919
V 3.6180 0.0000 3.8053
V 9.5488 0.0000 2.5819
V 9.9827 0.0000 5.4953
V 12.9779 0.0000 4.8396
Tc 6.1366 0.0000 0.3134
Tc 7.0302 0.0000 6.0738
Os 0.7176 0.0000 4.2607
Os 12.4492 0.0000 2.1266
```

Computed properties:
SG = C2/m
crystal system = monoclinic
V = 144.2 Å³/cell

Version c
Computed, not measured: a relaxed structure of V3TcOs at the PBE level of DFT.

```
20
Lattice="5.7291 -4.0678 0.0000 5.7291 4.0678 0.0000 -0.5898 0.0000 6.1859" Properties=species:S:1:pos:R:3 pbc="T T T"
V 4.4834 3.2299 3.7716
V 3.5471 1.7808 5.9027
V 6.0901 3.2299 5.5072
V 3.6984 1.2403 2.6257
V 7.0264 1.7808 3.3762
V 3.4035 -1.2403 5.7186
V 7.4649 1.2403 0.4673
V 3.8420 -1.7808 2.8098
V 7.1700 -1.2403 3.5602
V 4.7783 -3.2299 0.6787
V 7.3214 -1.7808 0.2832
V 6.3850 -3.2299 2.4143
Tc 2.1996 0.3274 4.3601
Tc 2.4945 -0.3274 1.2672
Tc 8.3739 0.3274 4.9188
Tc 8.6689 -0.3274 1.8258
Os 5.5817 2.6407 1.5465
Os 5.2868 0.2362 4.6394
Os 5.5817 -0.2362 1.5465
Os 5.2868 -2.6407 4.6394
```

Computed properties:
SG = C2/c
crystal system = monoclinic
V = 288.3 Å³/cell

So which one wins? Going from most stable to least: version b, version c, version a.

Version a
Computed, not measured: a relaxed structure of V2TcOs at the PBE level of DFT.

```
4
Lattice="4.2815 0.0000 0.0000 0.0000 4.2815 0.0000 0.0000 0.0000 3.0142" Properties=species:S:1:pos:R:3 pbc="T T T"
V 0.0000 2.1408 0.0000
V 2.1408 0.0000 0.0000
Tc 0.0000 0.0000 1.5071
Os 2.1408 2.1408 1.5071
```

Computed properties:
SG = P4/mmm
crystal system = tetragonal
V = 55.3 Å³/cell

Version b
Computed, not measured: a relaxed structure of V2TcOs at the PBE level of DFT.

```
8
Lattice="-3.3999 3.3999 2.5993 3.3999 -3.3999 2.5993 3.3999 3.3999 -2.5993" Properties=species:S:1:pos:R:3 pbc="T T T"
V 5.0999 1.6869 -0.6498
V 1.6869 1.7000 0.6498
V -1.7000 1.7130 1.9495
V 1.7130 1.7000 3.2491
Tc 3.3999 0.0000 1.2996
Tc 0.0000 0.0000 2.5993
Os 0.0000 0.0000 0.0000
Os 0.0000 3.3999 1.2996
```

Computed properties:
SG = I-42d
crystal system = tetragonal
V = 120.2 Å³/cell

Version c
Computed, not measured: a relaxed structure of V2TcOs at the PBE level of DFT.

```
4
Lattice="0.0000 3.0236 3.0236 3.0236 0.0000 3.0236 3.0236 3.0236 0.0000" Properties=species:S:1:pos:R:3 pbc="T T T"
V 1.5118 1.5118 1.5118
V 4.5354 4.5354 4.5354
Tc 0.0000 0.0000 0.0000
Os 3.0236 3.0236 3.0236
```

Computed properties:
SG = Fm-3m
crystal system = cubic
V = 55.3 Å³/cell

So which one wins? Going from most stable to least: version c, version a, version b.

Version a
Computed, not measured: a relaxed structure of V4Tc2Os at the PBE level of DFT.

```
7
Lattice="-2.2679 2.2679 6.1272 2.2679 -2.2679 6.1272 2.2679 2.2679 -6.1272" Properties=species:S:1:pos:R:3 pbc="T T T"
V 2.2679 0.0000 0.0000
V 0.0000 0.0000 2.4429
V 0.0000 2.2679 0.0000
V 0.0000 0.0000 9.8116
Tc 0.0000 0.0000 4.6818
Tc 0.0000 0.0000 7.5727
Os 0.0000 0.0000 0.0000
```

Computed properties:
SG = I4/mmm
crystal system = tetragonal
V = 126.1 Å³/cell

Version b
Computed, not measured: a relaxed structure of V4Tc2Os at the PBE level of DFT.

```
7
Lattice="-2.9735 2.9735 3.0028 2.9735 -2.9735 3.0028 2.9735 2.9735 -3.0028" Properties=species:S:1:pos:R:3 pbc="T T T"
V 1.4867 1.4867 -1.5014
V 1.4867 -1.4867 1.5014
V -1.4867 1.4867 1.5014
V 1.4867 1.4867 1.5014
Tc 2.9735 0.0000 0.0000
Tc 0.0000 2.9735 0.0000
Os 0.0000 0.0000 0.0000
```

Computed properties:
SG = I4/mmm
crystal system = tetragonal
V = 106.2 Å³/cell

So which one wins? Going from most stable to least: version b, version a.